# Li4MnOF5

A geometry-optimized Li4MnOF5 structure (PBE+U, the Alexandria database).

abc: 5.3516 5.3516 6.3750
angles: 111.05 111.05 41.61
Last column: nearest neighbours and their distance in Å.
Positions (direct):
Li1 0.1438 0.1438 0.3756  4 F 1.89-2.00
Li2 0.1561 0.1561 0.8023  4 F 1.96-2.02
Li3 0.8439 0.8439 0.1977  4 F 1.96-2.02
Li4 0.8562 0.8562 0.6244  4 F 1.89-2.00
Mn1 0.5000 0.5000 0.0000  2 O 1.90, 2 F 1.94
O1 0.0000 0.0000 0.0000  2 Mn 1.90
F1 0.0000 0.0000 0.5000  4 Li 1.89-1.96
F2 0.3121 0.3121 0.6738  4 Li 2.00-2.02, 1 Mn 2.20
F3 0.3504 0.3504 0.1238  1 Mn 1.94, 2 Li 1.97
F4 0.6496 0.6496 0.8762  1 Mn 1.94, 2 Li 1.97
F5 0.6879 0.6879 0.3262  4 Li 2.00-2.02, 1 Mn 2.20

# CoAgSe2O8

A geometry-optimized CoAgSe2O8 structure (PBE+U, the Alexandria database).

abc: 8.2743 8.2743 8.2743
angles: 34.52 34.52 34.52
Last column: nearest neighbours and their distance in Å.
Positions (direct):
Co1 0.0000 0.0000 0.0000  6 O 2.00
Ag1 0.5000 0.5000 0.5000  12 O 2.88-3.18
Se1 0.2592 0.2592 0.2592  4 O 1.66-1.69
Se2 0.7408 0.7408 0.7408  4 O 1.66-1.69
O1 0.0389 0.3842 0.7318  1 Se 1.69
O2 0.1879 0.1879 0.1879  1 Se 1.66
O3 0.2682 0.9611 0.6158  1 Se 1.69
O4 0.3842 0.7318 0.0389  1 Se 1.69
O5 0.6158 0.2682 0.9611  1 Se 1.69
O6 0.7318 0.0389 0.3842  1 Se 1.69
O7 0.8121 0.8121 0.8121  1 Se 1.66
O8 0.9611 0.6158 0.2682  1 Se 1.69

no.,D(E_F) (states/eV/atom),total DFT energy (no corrections) (eV for the cell shown)
1,0.000,-58.29
2,0.440,-60.69